Sm2HoCdN | PBE | optimized geometry

Calculated values
- Uncorrected energy: -27.20 eV for the cell shown

Lattice parameters (Å, degrees): 4.989 4.989 4.764 90.00 90.00 90.00
Space group P4/mmm (No. 123)
Symmetry-distinct sites (fractional):
Sm (0.000, 0.500, 0.000) [2 per cell]
Ho (0.000, 0.000, 0.500) [1 per cell]
Cd (0.500, 0.500, 0.500) [1 per cell]
N (0.000, 0.000, 0.000) [1 per cell]

=====

La2SmDyY2 | PBE | optimized geometry

Calculated values
- Uncorrected energy: -61.05 eV for the cell shown

Lattice parameters (Å, degrees): 6.649 18.427 3.424 90.00 90.00 90.00
Space group Pnnm (No. 58)
Symmetry-distinct sites (fractional):
La (0.223, 0.186, 0.000) [4 per cell]
Sm (0.000, 0.500, 0.000) [2 per cell]
Dy (0.000, 0.000, 0.000) [2 per cell]
Y (0.220, 0.356, 0.500) [4 per cell]

=====

KAcPu2Se4 | PBE | optimized geometry

Calculated values
- Uncorrected energy: -60.27 eV for the cell shown

Lattice parameters (Å, degrees): 7.540 4.299 7.625 90.00 108.88 90.00
Space group P2/m (No. 10)
Symmetry-distinct sites (fractional):
K (0.000, 0.000, 0.000) [1 per cell]
Ac (0.500, 0.500, 0.000) [1 per cell]
Pu (0.000, 0.500, 0.500) [1 per cell]
Pu (0.500, 0.000, 0.500) [1 per cell]
Se (0.245, 0.000, 0.729) [2 per cell]
Se (0.267, 0.500, 0.276) [2 per cell]

=====

> Which of these has the highest uncorrected energy?

Sm2HoCdN